Ca3Ta4O12F2 | meta-GGA SCAN | PBEsol geometry

Output
VASP energy = -21.33 eV/atom
relative energy among the computed polymorphs = 0.38 eV per formula unit
DOS at the Fermi energy = 0.0 states/eV/cell
SG = R-3m
energy relative to the elements, uncorrected = -325.1 kJ/mol of atoms

abc: 7.316 7.316 7.316
angles: 60.94 60.94 60.94
Positions (direct):
Ca (0.000, 0.500, 0.500)
Ca (0.500, 0.000, 0.500)
Ca (0.500, 0.500, 0.000)
Ta (0.000, 0.000, 0.000)
Ta (0.000, 0.000, 0.500)
Ta (0.000, 0.500, 0.000)
Ta (0.500, 0.000, 0.000)
O (0.056, 0.685, 0.685)
O (0.072, 0.072, 0.681)
O (0.072, 0.681, 0.072)
O (0.315, 0.315, 0.944)
O (0.315, 0.944, 0.315)
O (0.319, 0.928, 0.928)
O (0.681, 0.072, 0.072)
O (0.685, 0.056, 0.685)
O (0.685, 0.685, 0.056)
O (0.928, 0.319, 0.928)
O (0.928, 0.928, 0.319)
O (0.944, 0.315, 0.315)
F (0.362, 0.362, 0.362)
F (0.638, 0.638, 0.638)

---

CaOs2F | meta-GGA SCAN | PBEsol geometry

Output
VASP energy = -37.68 eV/atom
DOS at the Fermi energy = 4.9 states/eV/cell
SG = Fm-3m
energy relative to the elements, uncorrected = 150.6 kJ/mol of atoms

abc: 4.452 4.452 4.452
angles: 60.00 60.00 60.00
Positions (direct):
Ca (0.000, 0.000, 0.000)
Os (0.250, 0.250, 0.250)
Os (0.750, 0.750, 0.750)
F (0.500, 0.500, 0.500)

---

CaOsF3 | meta-GGA SCAN | PBEsol geometry

Output
VASP energy = -19.85 eV/atom
DOS at the Fermi energy = 6.2 states/eV/cell
SG = Pm-3m
energy relative to the elements, uncorrected = -136.3 kJ/mol of atoms

abc: 4.381 4.381 4.381
angles: 90.00 90.00 90.00
Positions (direct):
Ca (0.000, 0.000, 0.000)
Os (0.500, 0.500, 0.500)
F (0.000, 0.000, 0.500)
F (0.000, 0.500, 0.000)
F (0.500, 0.000, 0.000)